Record 1
## Cu7Ag3 (GGA-PBE)

Data for a relaxed Cu7Ag3 crystal.

Its calculated total energy is -3.357 eV per atom. The distance to the lowest polymorph of the same formula is 47 meV per atom. The calculated volume comes out at 275.18 Å³ per cell.

The space group is C2/m (No. 12) and the conventional cell measures 4.668, 13.417 and 4.665 Å, with angles of 90.00, 109.67 and 90.00 degrees. The asymmetric unit holds Cu at (0.000, 0.000, 0.000), Cu at (0.000, 0.100, 0.500), Cu at (0.000, 0.300, 0.500), Cu at (0.000, 0.403, 0.000), Ag at (0.000, 0.195, 0.000) and Ag at (0.000, 0.500, 0.500).



Record 2
## Ba2Ta5O9 (GGA-PBE)

Data for a relaxed Ba2Ta5O9 crystal.

Its calculated total energy is -9.296 eV per atom. The calculated volume comes out at 213.87 Å³ per cell.

The space group is P4/mmm (No. 123) and the conventional cell measures 4.179, 4.179 and 12.249 Å, with angles of 90.00, 90.00 and 90.00 degrees. The asymmetric unit holds Ba at (0.000, 0.000, 0.168), Ta at (0.000, 0.500, 0.500), Ta at (0.500, 0.500, 0.000), Ta at (0.500, 0.500, 0.338), O at (0.000, 0.000, 0.500), O at (0.000, 0.500, 0.000), O at (0.000, 0.500, 0.326) and O at (0.500, 0.500, 0.162).



Record 3
## TlTeAuO (GGA-PBE)

Data for a relaxed TlTeAuO crystal.

Its calculated total energy is -3.190 eV per atom. The distance to the lowest polymorph of the same formula is 414 meV per atom. The calculated volume comes out at 197.81 Å³ per cell.

The space group is P4/nmm (No. 129, origin choice 2) and the conventional cell measures 4.576, 4.576 and 9.445 Å, with angles of 90.00, 90.00 and 90.00 degrees. The asymmetric unit holds Tl at (0.250, 0.750, 0.000), Te at (0.250, 0.250, 0.224), Au at (0.250, 0.250, 0.525) and O at (0.250, 0.750, 0.500).



Record 4
## CuSbSeS (GGA-PBE)

Data for a relaxed CuSbSeS crystal.

Its calculated total energy is -3.907 eV per atom. The distance to the lowest polymorph of the same formula is 0 meV per atom. The calculated volume comes out at 164.67 Å³ per cell.

The space group is P4/nmm (No. 129, origin choice 2) and the conventional cell measures 4.424, 4.424 and 8.415 Å, with angles of 90.00, 90.00 and 90.00 degrees. The asymmetric unit holds Cu at (0.250, 0.750, 0.000), Sb at (0.250, 0.250, 0.325), Se at (0.250, 0.250, 0.848) and S at (0.250, 0.750, 0.500).



Record 5
## CsNdBeSe3 (GGA-PBE)

Data for a relaxed CsNdBeSe3 crystal.

Its calculated total energy is -4.690 eV per atom. The calculated volume comes out at 756.20 Å³ per cell.

The space group is Cmcm (No. 63) and the conventional cell measures 4.156, 16.155 and 11.262 Å, with angles of 90.00, 90.00 and 90.00 degrees. The asymmetric unit holds Cs at (0.000, 0.239, 0.250), Nd at (0.000, 0.500, 0.000), Be at (0.000, 0.040, 0.750), Se at (0.000, 0.115, 0.583) and Se at (0.000, 0.452, 0.750).



Record 6
## NdMg15Ni (GGA-PBE)

Data for a relaxed NdMg15Ni crystal.

Its calculated total energy is -2.034 eV per atom. The calculated volume comes out at 779.43 Å³ per cell.

The space group is P4/nmm (No. 129, origin choice 2) and the conventional cell measures 10.011, 10.011 and 7.777 Å, with angles of 90.00, 90.00 and 90.00 degrees. The asymmetric unit holds Nd at (0.250, 0.250, 0.066), Mg at (0.000, 0.000, 0.000), Mg at (0.020, 0.250, 0.734), Mg at (0.090, 0.090, 0.390), Mg at (0.098, 0.750, 0.849), Mg at (0.250, 0.750, 0.500) and Ni at (0.250, 0.250, 0.569).



Record 7
## TaNbSi2As2 (GGA-PBE)

Data for a relaxed TaNbSi2As2 crystal.

Its calculated total energy is -7.572 eV per atom. The calculated volume comes out at 98.02 Å³ per cell.

The space group is P4mm (No. 99) and the conventional cell measures 3.513, 3.513 and 7.945 Å, with angles of 90.00, 90.00 and 90.00 degrees. The asymmetric unit holds Ta at (0.000, 0.000, 0.000), Nb at (0.500, 0.500, 0.507), Si at (0.000, 0.500, 0.253), As at (0.000, 0.000, 0.642) and As at (0.500, 0.500, 0.866).



Record 8
## NbAsW2 (GGA-PBE)

Data for a relaxed NbAsW2 crystal.

Its calculated total energy is -9.844 eV per atom. The calculated volume comes out at 261.98 Å³ per cell.

The space group is F-43m (No. 216) and the conventional cell measures 6.399, 6.399 and 6.399 Å, with angles of 90.00, 90.00 and 90.00 degrees. The asymmetric unit holds Nb at (0.000, 0.000, 0.000), As at (0.250, 0.250, 0.750), W at (0.000, 0.000, 0.500) and W at (0.250, 0.250, 0.250).



Record 9
## LuGaFeIr (GGA-PBE)

Data for a relaxed LuGaFeIr crystal.

Its calculated total energy is -6.381 eV per atom. The distance to the lowest polymorph of the same formula is 144 meV per atom. The calculated volume comes out at 267.82 Å³ per cell.

The space group is F-43m (No. 216) and the conventional cell measures 6.446, 6.446 and 6.446 Å, with angles of 90.00, 90.00 and 90.00 degrees. The asymmetric unit holds Lu at (0.000, 0.000, 0.000), Ga at (0.250, 0.250, 0.250), Fe at (0.000, 0.000, 0.500) and Ir at (0.250, 0.250, 0.750).



Record 10
## LaNdSb4Pd2 (GGA-PBE)

Data for a relaxed LaNdSb4Pd2 crystal.

Its calculated total energy is -5.439 eV per atom. The calculated volume comes out at 203.08 Å³ per cell.

The space group is P4mm (No. 99) and the conventional cell measures 4.510, 4.510 and 9.983 Å, with angles of 90.00, 90.00 and 90.00 degrees. The asymmetric unit holds La at (0.000, 0.000, 0.000), Nd at (0.500, 0.500, 0.494), Sb at (0.000, 0.000, 0.402), Sb at (0.000, 0.500, 0.744), Sb at (0.500, 0.500, 0.098) and Pd at (0.000, 0.500, 0.251).



Record 11
## Cs3TbI6 (GGA-PBE)

Data for a relaxed Cs3TbI6 crystal.

Its calculated total energy is -3.167 eV per atom. The calculated volume comes out at 1114.73 Å³ per cell.

The space group is P2_1/c (No. 14) and the conventional cell measures 9.023, 9.624 and 15.497 Å, with angles of 90.00, 124.08 and 90.00 degrees. The asymmetric unit holds Cs at (0.000, 0.000, 0.000), Cs at (0.212, 0.077, 0.744), Tb at (0.500, 0.000, 0.500), I at (0.176, 0.173, 0.450), I at (0.269, 0.735, 0.429) and I at (0.402, 0.048, 0.279).



Record 12
## Nd3Nb2O8 (GGA-PBE)

Data for a relaxed Nd3Nb2O8 crystal.

Its calculated total energy is -8.291 eV per atom. The calculated volume comes out at 585.64 Å³ per cell.

The space group is R-3m (No. 166, hexagonal axes) and the conventional cell measures 5.8578, 5.8578 and 19.7076 Å, with angles of 90.00, 90.00 and 120.00 degrees. The asymmetric unit holds Nd at (0.0000, 0.0000, 0.0000), Nd at (0.0000, 0.0000, 0.1898), Nb at (0.0000, 0.0000, 0.3985), O at (0.0000, 0.0000, 0.3026) and O at (0.0172, 0.5086, 0.7690).



Record 13
## ScTcNiB (GGA-PBE)

Data for a relaxed ScTcNiB crystal.

Its calculated total energy is -7.010 eV per atom. The distance to the lowest polymorph of the same formula is 190 meV per atom. The calculated volume comes out at 198.88 Å³ per cell.

The space group is F-43m (No. 216) and the conventional cell measures 5.837, 5.837 and 5.837 Å, with angles of 90.00, 90.00 and 90.00 degrees. The asymmetric unit holds Sc at (0.000, 0.000, 0.000), Tc at (0.250, 0.250, 0.250), Ni at (0.250, 0.250, 0.750) and B at (0.000, 0.000, 0.500).



Record 14
## PrMg (GGA-PBE)

Data for a relaxed PrMg crystal.

Its calculated total energy is -3.189 eV per atom. The distance to the lowest polymorph of the same formula is 89 meV per atom. The calculated volume comes out at 479.53 Å³ per cell.

The space group is Pmmn (No. 59, origin choice 2) and the conventional cell measures 5.416, 13.477 and 6.570 Å, with angles of 90.00, 90.00 and 90.00 degrees. The asymmetric unit holds Pr at (0.250, 0.101, 0.092), Pr at (0.250, 0.250, 0.587), Pr at (0.250, 0.750, 0.763), Mg at (0.250, 0.506, 0.618) and Mg at (0.250, 0.637, 0.236).



Record 15
## HoPuAg (GGA-PBE)

Data for a relaxed HoPuAg crystal.

Its calculated total energy is -6.939 eV per atom. The distance to the lowest polymorph of the same formula is 0 meV per atom. The calculated volume comes out at 347.17 Å³ per cell.

The space group is F-43m (No. 216) and the conventional cell measures 7.028, 7.028 and 7.028 Å, with angles of 90.00, 90.00 and 90.00 degrees. The asymmetric unit holds Ho at (0.000, 0.000, 0.000), Pu at (0.000, 0.000, 0.500) and Ag at (0.250, 0.250, 0.250).



Record 16
## Cs2MgCdP2 (GGA-PBE)

Data for a relaxed Cs2MgCdP2 crystal.

Its calculated total energy is -2.977 eV per atom. The calculated volume comes out at 184.62 Å³ per cell.

The space group is P-4m2 (No. 115) and the conventional cell measures 4.485, 4.485 and 9.179 Å, with angles of 90.00, 90.00 and 90.00 degrees. The asymmetric unit holds Cs at (0.000, 0.500, 0.163), Mg at (0.000, 0.000, 0.500), Cd at (0.500, 0.500, 0.500) and P at (0.000, 0.500, 0.663).



Record 17
## LaSmAl2Ni4 (GGA-PBE)

Data for a relaxed LaSmAl2Ni4 crystal.

Its calculated total energy is -5.462 eV per atom. The calculated volume comes out at 141.03 Å³ per cell.

The space group is P-6m2 (No. 187) and the conventional cell measures 4.1702, 4.1702 and 9.3640 Å, with angles of 90.00, 90.00 and 120.00 degrees. The asymmetric unit holds La at (0.0000, 0.0000, 0.0000), Sm at (0.6667, 0.3333, 0.5000), Al at (0.3333, 0.6667, 0.2567), Ni at (0.0000, 0.0000, 0.3050) and Ni at (0.6667, 0.3333, 0.2003).



Record 18
## MgScCoBi (GGA-PBE)

Data for a relaxed MgScCoBi crystal.

Its calculated total energy is -4.724 eV per atom. The distance to the lowest polymorph of the same formula is 17 meV per atom. The calculated volume comes out at 306.77 Å³ per cell.

The space group is F-43m (No. 216) and the conventional cell measures 6.744, 6.744 and 6.744 Å, with angles of 90.00, 90.00 and 90.00 degrees. The asymmetric unit holds Mg at (0.000, 0.000, 0.000), Sc at (0.250, 0.250, 0.250), Co at (0.000, 0.000, 0.500) and Bi at (0.250, 0.250, 0.750).



Record 19
## LiMgGa2Pd4 (GGA-PBE)

Data for a relaxed LiMgGa2Pd4 crystal.

Its calculated total energy is -4.484 eV per atom. The calculated volume comes out at 117.49 Å³ per cell.

The space group is P4/mmm (No. 123) and the conventional cell measures 4.361, 4.361 and 6.178 Å, with angles of 90.00, 90.00 and 90.00 degrees. The asymmetric unit holds Li at (0.000, 0.000, 0.000), Mg at (0.500, 0.500, 0.500), Ga at (0.000, 0.000, 0.500), Ga at (0.500, 0.500, 0.000) and Pd at (0.000, 0.500, 0.244).



Record 20
## NbCoAgB (GGA-PBE)

Data for a relaxed NbCoAgB crystal.

Its calculated total energy is -6.048 eV per atom. The distance to the lowest polymorph of the same formula is 0 meV per atom. The calculated volume comes out at 211.33 Å³ per cell.

The space group is F-43m (No. 216) and the conventional cell measures 5.956, 5.956 and 5.956 Å, with angles of 90.00, 90.00 and 90.00 degrees. The asymmetric unit holds Nb at (0.000, 0.000, 0.000), Co at (0.000, 0.000, 0.500), Ag at (0.250, 0.250, 0.750) and B at (0.250, 0.250, 0.250).



Record 21
## Mg2GaCu3 (GGA-PBE)

Data for a relaxed Mg2GaCu3 crystal.

Its calculated total energy is -3.111 eV per atom. The calculated volume comes out at 179.20 Å³ per cell.

The space group is P6_3/mmc (No. 194) and the conventional cell measures 5.0859, 5.0859 and 8.0000 Å, with angles of 90.00, 90.00 and 120.00 degrees. The asymmetric unit holds Mg at (0.3333, 0.6667, 0.0627), Ga at (0.0000, 0.0000, 0.0000) and Cu at (0.1712, 0.3424, 0.7500).



Record 22
## MgTc (GGA-PBE)

Data for a relaxed MgTc crystal.

Its calculated total energy is -5.832 eV per atom. The distance to the lowest polymorph of the same formula is 146 meV per atom. The calculated volume comes out at 323.88 Å³ per cell.

The space group is Amm2 (No. 38) and the conventional cell measures 4.367, 16.983 and 4.368 Å, with angles of 90.00, 90.00 and 90.00 degrees. The asymmetric unit holds Mg at (0.000, 0.000, 0.000), Mg at (0.000, 0.106, 0.499), Mg at (0.500, 0.106, 0.998), Tc at (0.000, 0.213, 0.998), Tc at (0.500, 0.000, 0.498) and Tc at (0.500, 0.210, 0.498).



Record 23
## CdSi2Sn (GGA-PBE)

Data for a relaxed CdSi2Sn crystal.

Its calculated total energy is -3.408 eV per atom. The calculated volume comes out at 329.37 Å³ per cell.

The space group is F-43m (No. 216) and the conventional cell measures 6.906, 6.906 and 6.906 Å, with angles of 90.00, 90.00 and 90.00 degrees. The asymmetric unit holds Cd at (0.000, 0.000, 0.000), Si at (0.000, 0.000, 0.500), Si at (0.250, 0.250, 0.250) and Sn at (0.250, 0.250, 0.750).